Rb3SrCr2F9: optimized geometry, PBE+U.

Properties
VASP energy in eV for the cell shown: -79.294
Total moment in μB per cell: 8.00

a = 6.239 Å, b = 6.239 Å, c = 7.746 Å
α = 90.00°, β = 90.00°, γ = 120.00°
Fractional positions:
Rb 0.000 0.000 0.000
Rb 0.333 0.667 0.683
Rb 0.667 0.333 0.317
Sr 0.000 0.000 0.500
Cr 0.333 0.667 0.152
Cr 0.667 0.333 0.848
F 0.000 0.500 0.000
F 0.175 0.351 0.314
F 0.175 0.825 0.314
F 0.351 0.175 0.686
F 0.500 0.000 0.000
F 0.500 0.500 0.000
F 0.649 0.825 0.314
F 0.825 0.175 0.686
F 0.825 0.649 0.686